1.
# Ca6Cd5Sn

An optimized crystal structure of Ca6Cd5Sn (PBE, Alexandria).

The space group is P2/m (No. 10) and the conventional cell measures 5.367, 7.840 and 8.475 Å, with angles of 90.00, 108.20 and 90.00 degrees. The distinct sites, in fractional coordinates, are Ca at (0.000, 0.248, 0.000), Ca at (0.333, 0.247, 0.668), Cd at (0.168, 0.000, 0.333), Cd at (0.169, 0.500, 0.336), Cd at (0.500, 0.000, 0.000) and Sn at (0.500, 0.500, 0.000).

As for the total magnetization: 0.000 μB/f.u. The energy relative to the elements comes out at -427 meV/atom. The value obtained for the volume is 339 Å³ per cell.

---

2.
# Ca2CdSn

An optimized crystal structure of Ca2CdSn (PBE, Alexandria).

The space group is R-3m (No. 166, hexagonal axes) and the conventional cell measures 3.6910, 3.6910 and 33.9966 Å, with angles of 90.00, 90.00 and 120.00 degrees. The distinct sites, in fractional coordinates, are Ca at (0.0000, 0.0000, 0.0930), Cd at (0.0000, 0.0000, 0.5000) and Sn at (0.0000, 0.0000, 0.0000).

As for the total magnetization: 0.000 μB/f.u. The energy relative to the elements comes out at -18 meV/atom. The value obtained for the volume is 401 Å³ per cell.

---

3.
# CaCdSn2

An optimized crystal structure of CaCdSn2 (PBE, Alexandria).

The space group is P4/mmm (No. 123) and the conventional cell measures 3.947, 3.947 and 6.953 Å, with angles of 90.00, 90.00 and 90.00 degrees. The distinct sites, in fractional coordinates, are Ca at (0.000, 0.000, 0.000), Cd at (0.000, 0.000, 0.500) and Sn at (0.500, 0.500, 0.280).

As for the total magnetization: 0.000 μB/f.u. The energy relative to the elements comes out at -276 meV/atom. The value obtained for the volume is 108 Å³ per cell.

---

4.
# CaCdSn2

An optimized crystal structure of CaCdSn2 (PBE, Alexandria).

The space group is P4/mmm (No. 123) and the conventional cell measures 4.767, 4.767 and 4.581 Å, with angles of 90.00, 90.00 and 90.00 degrees. The distinct sites, in fractional coordinates, are Ca at (0.000, 0.000, 0.000), Cd at (0.500, 0.500, 0.000) and Sn at (0.000, 0.500, 0.500).

As for the total magnetization: 0.000 μB/f.u. The energy relative to the elements comes out at -370 meV/atom. The value obtained for the volume is 104 Å³ per cell.

---

5.
# Ca2Cd2Sn

An optimized crystal structure of Ca2Cd2Sn (PBE, Alexandria).

The space group is I4/mmm (No. 139) and the conventional cell measures 4.024, 4.024 and 18.736 Å, with angles of 90.00, 90.00 and 90.00 degrees. The distinct sites, in fractional coordinates, are Ca at (0.000, 0.000, 0.098), Cd at (0.000, 0.500, 0.250) and Sn at (0.000, 0.000, 0.500).

As for the total magnetization: 0.000 μB/f.u. The energy relative to the elements comes out at -276 meV/atom. The value obtained for the volume is 303 Å³ per cell.

---

6.
# CaCdSn4

An optimized crystal structure of CaCdSn4 (PBE, Alexandria).

The space group is F-43m (No. 216) and the conventional cell measures 8.836, 8.836 and 8.836 Å, with angles of 90.00, 90.00 and 90.00 degrees. The distinct sites, in fractional coordinates, are Ca at (0.000, 0.000, 0.000), Cd at (0.250, 0.250, 0.750) and Sn at (0.125, 0.125, 0.375).

As for the total magnetization: 0.000 μB/f.u. The energy relative to the elements comes out at -131 meV/atom. The value obtained for the volume is 690 Å³ per cell.

---

7.
# Ca6Cd23Sn

An optimized crystal structure of Ca6Cd23Sn (PBE, Alexandria).

The space group is Fm-3m (No. 225) and the conventional cell measures 14.313, 14.313 and 14.313 Å, with angles of 90.00, 90.00 and 90.00 degrees. The distinct sites, in fractional coordinates, are Ca at (0.000, 0.000, 0.225), Cd at (0.000, 0.000, 0.500), Cd at (0.000, 0.250, 0.250), Cd at (0.126, 0.126, 0.374), Cd at (0.153, 0.153, 0.153) and Sn at (0.000, 0.000, 0.000).

As for the total magnetization: 0.000 μB/f.u. The energy relative to the elements comes out at -247 meV/atom. The value obtained for the volume is 2932 Å³ per cell.

---

8.
# Ca6CdSn5

An optimized crystal structure of Ca6CdSn5 (PBE, Alexandria).

The space group is P2/m (No. 10) and the conventional cell measures 4.984, 9.003 and 7.903 Å, with angles of 90.00, 108.14 and 90.00 degrees. The distinct sites, in fractional coordinates, are Ca at (0.000, 0.240, 0.000), Ca at (0.331, 0.252, 0.663), Cd at (0.500, 0.500, 0.000), Sn at (0.157, 0.500, 0.316), Sn at (0.170, 0.000, 0.340) and Sn at (0.500, 0.000, 0.000).

As for the total magnetization: 0.000 μB/f.u. The energy relative to the elements comes out at -572 meV/atom. The value obtained for the volume is 337 Å³ per cell.

---

9.
# CaCd2Sn

An optimized crystal structure of CaCd2Sn (PBE, Alexandria).

The space group is I-42d (No. 122) and the conventional cell measures 4.581, 4.581 and 21.765 Å, with angles of 90.00, 90.00 and 90.00 degrees. The distinct sites, in fractional coordinates, are Ca at (0.000, 0.000, 0.000), Cd at (0.228, 0.250, 0.625) and Sn at (0.000, 0.000, 0.500).

As for the total magnetization: 0.000 μB/f.u. The energy relative to the elements comes out at -134 meV/atom. The value obtained for the volume is 457 Å³ per cell.

---

10.
# CaCd4Sn2

An optimized crystal structure of CaCd4Sn2 (PBE, Alexandria).

The space group is Cmmm (No. 65) and the conventional cell measures 4.543, 17.887 and 4.527 Å, with angles of 90.00, 90.00 and 90.00 degrees. The distinct sites, in fractional coordinates, are Ca at (0.000, 0.000, 0.000), Cd at (0.000, 0.188, 0.500), Cd at (0.000, 0.308, 0.000) and Sn at (0.000, 0.419, 0.500).

As for the total magnetization: 0.000 μB/f.u. The energy relative to the elements comes out at -163 meV/atom. The value obtained for the volume is 368 Å³ per cell.

---

11.
# Ca4Cd2Sn

An optimized crystal structure of Ca4Cd2Sn (PBE, Alexandria).

The space group is R-3m (No. 166, hexagonal axes) and the conventional cell measures 5.3569, 5.3569 and 26.9130 Å, with angles of 90.00, 90.00 and 120.00 degrees. The distinct sites, in fractional coordinates, are Ca at (0.0000, 0.0000, 0.1241), Ca at (0.0000, 0.0000, 0.3745), Cd at (0.0000, 0.0000, 0.2506) and Sn at (0.0000, 0.0000, 0.5000).

As for the total magnetization: 0.000 μB/f.u. The energy relative to the elements comes out at -350 meV/atom. The value obtained for the volume is 669 Å³ per cell.

---

12.
# CaCd2Sn

An optimized crystal structure of CaCd2Sn (PBE, Alexandria).

The space group is P4/mmm (No. 123) and the conventional cell measures 4.024, 4.024 and 6.526 Å, with angles of 90.00, 90.00 and 90.00 degrees. The distinct sites, in fractional coordinates, are Ca at (0.000, 0.000, 0.000), Cd at (0.500, 0.500, 0.260) and Sn at (0.000, 0.000, 0.500).

As for the total magnetization: 0.000 μB/f.u. The energy relative to the elements comes out at -228 meV/atom. The value obtained for the volume is 106 Å³ per cell.

---

13.
# CaCd4Sn

An optimized crystal structure of CaCd4Sn (PBE, Alexandria).

The space group is F-43m (No. 216) and the conventional cell measures 8.480, 8.480 and 8.480 Å, with angles of 90.00, 90.00 and 90.00 degrees. The distinct sites, in fractional coordinates, are Ca at (0.000, 0.000, 0.000), Cd at (0.125, 0.125, 0.375) and Sn at (0.250, 0.250, 0.750).

As for the total magnetization: 0.000 μB/f.u. The energy relative to the elements comes out at -172 meV/atom. The value obtained for the volume is 610 Å³ per cell.

---

14.
# Ca2Cd3Sn2

An optimized crystal structure of Ca2Cd3Sn2 (PBE, Alexandria).

The space group is C2/m (No. 12) and the conventional cell measures 11.485, 4.704 and 7.439 Å, with angles of 90.00, 110.45 and 90.00 degrees. The distinct sites, in fractional coordinates, are Ca at (0.142, 0.000, 0.266), Cd at (0.000, 0.500, 0.500), Cd at (0.101, 0.500, 0.933) and Sn at (0.156, 0.000, 0.726).

As for the total magnetization: 0.000 μB/f.u. The energy relative to the elements comes out at -356 meV/atom. The value obtained for the volume is 377 Å³ per cell.

---

15.
# Ca4CdSn12

An optimized crystal structure of Ca4CdSn12 (PBE, Alexandria).

The space group is Im-3m (No. 229) and the conventional cell measures 9.876, 9.876 and 9.876 Å, with angles of 90.00, 90.00 and 90.00 degrees. The distinct sites, in fractional coordinates, are Ca at (0.250, 0.250, 0.250), Cd at (0.000, 0.000, 0.000), Sn at (0.000, 0.000, 0.298) and Sn at (0.000, 0.250, 0.500).

As for the total magnetization: 0.000 μB/f.u. The energy relative to the elements comes out at -284 meV/atom. The value obtained for the volume is 963 Å³ per cell.

---

16.
# Ca8Cd2Sn

An optimized crystal structure of Ca8Cd2Sn (PBE, Alexandria).

The space group is Immm (No. 71) and the conventional cell measures 5.232, 8.662 and 16.126 Å, with angles of 90.00, 90.00 and 90.00 degrees. The distinct sites, in fractional coordinates, are Ca at (0.000, 0.000, 0.144), Ca at (0.000, 0.222, 0.338), Ca at (0.000, 0.303, 0.000), Cd at (0.000, 0.500, 0.187) and Sn at (0.000, 0.500, 0.500).

As for the total magnetization: 0.000 μB/f.u. The energy relative to the elements comes out at -256 meV/atom. The value obtained for the volume is 731 Å³ per cell.

---

17.
# CaCd2Sn

An optimized crystal structure of CaCd2Sn (PBE, Alexandria).

The space group is P2_1/m (No. 11) and the conventional cell measures 5.115, 8.453 and 5.897 Å, with angles of 90.00, 115.40 and 90.00 degrees. The distinct sites, in fractional coordinates, are Ca at (0.070, 0.250, 0.135), Cd at (0.266, 0.582, 0.535) and Sn at (0.391, 0.250, 0.775).

As for the total magnetization: 0.000 μB/f.u. The energy relative to the elements comes out at -149 meV/atom. The value obtained for the volume is 230 Å³ per cell.

---

18.
# Ca2CdSn

An optimized crystal structure of Ca2CdSn (PBE, Alexandria).

The space group is I-42d (No. 122) and the conventional cell measures 4.933, 4.933 and 21.668 Å, with angles of 90.00, 90.00 and 90.00 degrees. The distinct sites, in fractional coordinates, are Ca at (0.245, 0.250, 0.125), Cd at (0.000, 0.000, 0.500) and Sn at (0.000, 0.000, 0.000).

As for the total magnetization: 0.000 μB/f.u. The energy relative to the elements comes out at -30 meV/atom. The value obtained for the volume is 527 Å³ per cell.

---

19.
# CaCd6Sn2

An optimized crystal structure of CaCd6Sn2 (PBE, Alexandria).

The space group is C2/m (No. 12) and the conventional cell measures 15.177, 8.599 and 3.572 Å, with angles of 90.00, 95.89 and 90.00 degrees. The distinct sites, in fractional coordinates, are Ca at (0.000, 0.000, 0.000), Cd at (0.000, 0.328, 0.500), Cd at (0.171, 0.170, 0.605) and Sn at (0.153, 0.500, 0.085).

As for the total magnetization: 0.000 μB/f.u. The energy relative to the elements comes out at -85 meV/atom. The value obtained for the volume is 464 Å³ per cell.

---

20.
# Ca2CdSn

An optimized crystal structure of Ca2CdSn (PBE, Alexandria).

The space group is Fm-3m (No. 225) and the conventional cell measures 7.678, 7.678 and 7.678 Å, with angles of 90.00, 90.00 and 90.00 degrees. The distinct sites, in fractional coordinates, are Ca at (0.250, 0.250, 0.250), Cd at (0.000, 0.000, 0.000) and Sn at (0.000, 0.000, 0.500).

As for the total magnetization: 0.000 μB/f.u. The energy relative to the elements comes out at -562 meV/atom. The value obtained for the volume is 453 Å³ per cell.